{
  "formula": "Sr2GaPb",
  "functional": "PBE",
  "state": "optimized geometry",
  "m_tot_mub_per_fu": 0.00,
  "vol_a3_per_atom": 34.0,
  "total_energy_ev_per_atom": -2.98,
  "cell": [[6.080, -2.550, 0.000], [6.080, 2.550, 0.000], [-1.129, 0.000, 8.762]],
  "species": ["Sr", "Sr", "Sr", "Sr", "Ga", "Ga", "Pb", "Pb"],
  "fractional_positions": [[0.000, 0.000, 0.000], [0.000, 0.000, 0.500], [0.289, 0.289, 0.804], [0.711, 0.711, 0.196], [0.261, 0.261, 0.430], [0.739, 0.739, 0.570], [0.410, 0.410, 0.208], [0.590, 0.590, 0.792]]
}